LaNdDyHo: optimized geometry, PBE.

Lattice parameters (Å, degrees): 12.5286 5.9511 3.7997 90.00 106.95 90.00
Last column: nearest neighbours and their distance in Å.
Sites, in units of the cell vectors:
La  0.0000  0.0000  0.0000  4 Ho 3.46-3.61, 2 Dy 3.49-3.69, 1 Nd 3.55, 2 La 3.80
La  0.5000  0.5000  0.0000  4 Ho 3.46-3.61, 2 Dy 3.49-3.69, 1 Nd 3.55, 2 La 3.80
Nd  0.2340  0.5000  0.1567  2 Ho 3.42-3.55, 4 Dy 3.51-3.57, 1 La 3.55, 2 Nd 3.80
Nd  0.7340  0.0000  0.1567  2 Ho 3.42-3.55, 4 Dy 3.51-3.57, 1 La 3.55, 2 Nd 3.80
Dy  0.2538  0.0000  0.6922  2 Ho 3.34-3.49, 2 La 3.49-3.69, 4 Nd 3.51-3.57
Dy  0.7538  0.5000  0.6922  2 Ho 3.34-3.49, 2 La 3.49-3.69, 4 Nd 3.51-3.57
Ho  0.4906  0.0000  0.4550  2 Dy 3.34-3.49, 2 Nd 3.42-3.55, 4 La 3.46-3.61
Ho  0.9906  0.5000  0.4550  2 Dy 3.34-3.49, 2 Nd 3.42-3.55, 4 La 3.46-3.61

Properties
density: 7.48 Mg/m³
E above lowest polymorph: 0.002 eV per atom
SG: Cm
total energy: -18.5 eV/f.u.
energy of formation: 103 meV per atom


Cs3PrO3: optimized geometry, PBE.

Lattice parameters (Å, degrees): 7.7776 7.7776 7.8883 94.96 94.96 117.28
Last column: nearest neighbours and their distance in Å.
Sites, in units of the cell vectors:
Cs  0.2188  0.7812  0.0000  2 O 2.89
Cs  0.2607  0.7393  0.5000  4 O 3.07-3.44
Cs  0.3527  0.3527  0.1454  1 O 2.79
Cs  0.6473  0.6473  0.8546  1 O 2.79
Cs  0.7393  0.2607  0.5000  4 O 3.07-3.44
Cs  0.7812  0.2188  0.0000  2 O 2.89
Pr  0.1797  0.1797  0.6537  4 O 2.25-2.32
Pr  0.8203  0.8203  0.3463  4 O 2.25-2.32
O  0.1081  0.1081  0.3567  2 Pr 2.32
O  0.1785  0.4544  0.7659  1 Pr 2.25
O  0.4544  0.1785  0.7659  1 Pr 2.25
O  0.5456  0.8215  0.2341  1 Pr 2.25
O  0.8215  0.5456  0.2341  1 Pr 2.25
O  0.8919  0.8919  0.6433  2 Pr 2.32

Properties
density: 4.67 Mg/m³
E above lowest polymorph: 0.016 eV per atom
SG: C2/m
total energy: -34.8 eV/f.u.


HoCuF5: optimized geometry, PBE.

Lattice parameters (Å, degrees): 5.6402 5.6402 7.2142 107.44 107.44 78.71
Last column: nearest neighbours and their distance in Å.
Sites, in units of the cell vectors:
Ho  0.0587  0.9413  0.7500  7 F 2.16-2.32
Ho  0.9413  0.0587  0.2500  7 F 2.16-2.32
Cu  0.5000  0.5000  0.0000  4 F 1.89-1.99
Cu  0.5000  0.5000  0.5000  4 F 1.89-1.99
F  0.1569  0.8131  0.0373  2 Ho 2.22-2.28, 1 Cu 2.37
F  0.1869  0.8431  0.4627  2 Ho 2.22-2.28, 1 Cu 2.37
F  0.2281  0.3083  0.3741  1 Cu 1.89
F  0.3083  0.2281  0.8741  1 Cu 1.89
F  0.3826  0.6174  0.7500  2 Cu 1.99
F  0.6174  0.3826  0.2500  2 Cu 1.99
F  0.6917  0.7719  0.1259  1 Cu 1.89
F  0.7719  0.6917  0.6259  1 Cu 1.89
F  0.8131  0.1569  0.5373  2 Ho 2.22-2.28, 1 Cu 2.37
F  0.8431  0.1869  0.9627  2 Ho 2.22-2.28, 1 Cu 2.37

Properties
density: 5.18 Mg/m³
SG: C2/c
total energy: -39.0 eV/f.u.


LiP3N: optimized geometry, PBE.

Lattice parameters (Å, degrees): 4.1715 4.1715 4.1715 90.00 90.00 90.00
Last column: nearest neighbours and their distance in Å.
Sites, in units of the cell vectors:
Li  0.0000  0.0000  0.0000  6 P 2.09
P  0.0000  0.0000  0.5000  2 Li 2.09
P  0.0000  0.5000  0.0000  2 Li 2.09
P  0.5000  0.0000  0.0000  2 Li 2.09
N  0.5000  0.5000  0.5000  12 P 2.95

Properties
density: 2.60 Mg/m³
E above lowest polymorph: 1.125 eV per atom
SG: Pm-3m
total energy: -17.3 eV/f.u.


Tb2NdSm6Y3: optimized geometry, PBE.

Lattice parameters (Å, degrees): 6.2528 6.2528 11.9318 95.00 95.00 119.98
Last column: nearest neighbours and their distance in Å.
Sites, in units of the cell vectors:
Tb  0.1665  0.8335  0.0000  6 Sm 3.61, 3 Tb 3.61, 3 Nd 3.61
Tb  0.8335  0.1665  0.0000  6 Sm 3.61, 3 Tb 3.61, 3 Nd 3.61
Nd  0.5000  0.5000  0.0000  6 Sm 3.61, 6 Tb 3.61
Sm  0.0820  0.4160  0.7492  3 Y 3.59-3.60, 2 Tb 3.61, 6 Sm 3.61-3.62, 1 Nd 3.61
Sm  0.2500  0.2500  0.2508  3 Y 3.59-3.60, 6 Sm 3.61-3.62, 2 Tb 3.61, 1 Nd 3.61
Sm  0.4160  0.0820  0.7492  3 Y 3.59-3.60, 2 Tb 3.61, 6 Sm 3.61-3.62, 1 Nd 3.61
Sm  0.5840  0.9180  0.2508  3 Y 3.59-3.60, 2 Tb 3.61, 6 Sm 3.61-3.62, 1 Nd 3.61
Sm  0.7500  0.7500  0.7492  3 Y 3.59-3.60, 6 Sm 3.61-3.62, 2 Tb 3.61, 1 Nd 3.61
Sm  0.9180  0.5840  0.2508  3 Y 3.59-3.60, 2 Tb 3.61, 6 Sm 3.61-3.62, 1 Nd 3.61
Y  0.0000  0.0000  0.5000  6 Sm 3.59-3.60, 6 Y 3.61
Y  0.3331  0.6669  0.5000  6 Sm 3.59-3.60, 6 Y 3.61
Y  0.6669  0.3331  0.5000  6 Sm 3.59-3.60, 6 Y 3.61

Properties
density: 6.81 Mg/m³
SG: C2/m
total energy: -61.6 eV/f.u.
energy of formation: 13 meV per atom


CaAg2Rh: optimized geometry, PBE.

Lattice parameters (Å, degrees): 3.2627 4.0759 5.8270 90.00 90.00 90.00
Last column: nearest neighbours and their distance in Å.
Sites, in units of the cell vectors:
Ca  0.0000  0.0000  0.0000  2 Rh 2.91, 8 Ag 3.05, 2 Ca 3.26
Ag  0.5000  0.5000  0.2711  1 Ag 2.67, 4 Rh 2.93
Ag  0.5000  0.5000  0.7289  1 Ag 2.67, 4 Rh 2.93
Rh  0.0000  0.0000  0.5000  2 Ca 2.91, 8 Ag 2.93, 2 Rh 3.26

Properties
density: 7.69 Mg/m³
E above lowest polymorph: 0.162 eV per atom
SG: Pmmm
total energy: -15.0 eV/f.u.
energy of formation: 11 meV per atom


CsCeAuSe2: optimized geometry, PBE.

Lattice parameters (Å, degrees): 4.0424 5.0625 8.1512 90.00 90.06 90.00
Last column: nearest neighbours and their distance in Å.
Sites, in units of the cell vectors:
Cs  0.0000  0.0000  0.0000  8 Se 3.84, 2 Cs 4.04
Ce  0.0000  0.5000  0.5000  4 Se 2.85
Au  0.5000  0.0000  0.5000  4 Se 3.23, 4 Ce 3.24
Se  0.4994  0.5000  0.2530  2 Ce 2.85
Se  0.5006  0.5000  0.7470  2 Ce 2.85

Properties
density: 6.25 Mg/m³
SG: P2/m
total energy: -22.3 eV/f.u.


NaYHgPd: optimized geometry, PBE.

Lattice parameters (Å, degrees): 7.1004 7.1004 7.1004 90.00 90.00 90.00
Last column: nearest neighbours and their distance in Å.
Sites, in units of the cell vectors:
Na  0.0000  0.0000  0.0000  4 Pd 3.07, 4 Hg 3.07
Na  0.0000  0.5000  0.5000  4 Pd 3.07, 4 Hg 3.07
Na  0.5000  0.0000  0.5000  4 Pd 3.07, 4 Hg 3.07
Na  0.5000  0.5000  0.0000  4 Pd 3.07, 4 Hg 3.07
Y  0.0000  0.0000  0.5000  4 Hg 3.07, 4 Pd 3.07
Y  0.0000  0.5000  0.0000  4 Hg 3.07, 4 Pd 3.07
Y  0.5000  0.0000  0.0000  4 Hg 3.07, 4 Pd 3.07
Y  0.5000  0.5000  0.5000  4 Hg 3.07, 4 Pd 3.07
Hg  0.2500  0.2500  0.7500  4 Na 3.07, 4 Y 3.07
Hg  0.2500  0.7500  0.2500  4 Na 3.07, 4 Y 3.07
Hg  0.7500  0.2500  0.2500  4 Na 3.07, 4 Y 3.07
Hg  0.7500  0.7500  0.7500  4 Na 3.07, 4 Y 3.07
Pd  0.2500  0.2500  0.2500  4 Na 3.07, 4 Y 3.07
Pd  0.2500  0.7500  0.7500  4 Na 3.07, 4 Y 3.07
Pd  0.7500  0.2500  0.7500  4 Na 3.07, 4 Y 3.07
Pd  0.7500  0.7500  0.2500  4 Na 3.07, 4 Y 3.07

Properties
density: 7.77 Mg/m³
SG: F-43m
total energy: -14.8 eV/f.u.
energy of formation: -390 meV per atom


Ce2Zn2Pt15: optimized geometry, PBE.

Lattice parameters (Å, degrees): 6.9913 6.9913 6.9913 83.07 83.07 83.07
Last column: nearest neighbours and their distance in Å.
Sites, in units of the cell vectors:
Ce  0.1546  0.1546  0.1546  15 Pt 3.18-3.53, 1 Zn 3.35
Ce  0.8454  0.8454  0.8454  15 Pt 3.18-3.53, 1 Zn 3.35
Zn  0.4032  0.4032  0.4032  1 Zn 2.61, 6 Pt 2.84-2.89
Zn  0.5968  0.5968  0.5968  1 Zn 2.61, 6 Pt 2.84-2.89
Pt  0.0000  0.5000  0.5000  8 Pt 2.68-2.69, 2 Zn 2.84
Pt  0.1573  0.1573  0.6592  8 Pt 2.68-2.79, 1 Zn 2.89
Pt  0.1573  0.6592  0.1573  8 Pt 2.68-2.79, 1 Zn 2.89
Pt  0.1846  0.5000  0.8154  8 Pt 2.69-2.92
Pt  0.1846  0.8154  0.5000  8 Pt 2.69-2.92
Pt  0.3408  0.8427  0.8427  8 Pt 2.68-2.79, 1 Zn 2.89
Pt  0.5000  0.0000  0.5000  8 Pt 2.68-2.69, 2 Zn 2.84
Pt  0.5000  0.1846  0.8154  8 Pt 2.69-2.92
Pt  0.5000  0.5000  0.0000  8 Pt 2.68-2.69, 2 Zn 2.84
Pt  0.5000  0.8154  0.1846  8 Pt 2.69-2.92
Pt  0.6592  0.1573  0.1573  8 Pt 2.68-2.79, 1 Zn 2.89
Pt  0.8154  0.1846  0.5000  8 Pt 2.69-2.92
Pt  0.8154  0.5000  0.1846  8 Pt 2.69-2.92
Pt  0.8427  0.3408  0.8427  8 Pt 2.68-2.79, 1 Zn 2.89
Pt  0.8427  0.8427  0.3408  8 Pt 2.68-2.79, 1 Zn 2.89

Properties
density: 16.55 Mg/m³
SG: R-3m
total energy: -114.5 eV/f.u.
energy of formation: -501 meV per atom


NbZnAu2: optimized geometry, PBE.

Lattice parameters (Å, degrees): 2.9487 2.9487 27.5853 90.00 90.00 120.00
Last column: nearest neighbours and their distance in Å.
Sites, in units of the cell vectors:
Nb  0.0000  0.0000  0.0000  6 Au 2.92, 6 Nb 2.95
Nb  0.3333  0.6667  0.6667  6 Au 2.92, 6 Nb 2.95
Nb  0.6667  0.3333  0.3333  6 Au 2.92, 6 Nb 2.95
Zn  0.0000  0.0000  0.1670  6 Au 2.80-2.81, 6 Zn 2.95
Zn  0.3333  0.6667  0.8336  6 Au 2.80-2.81, 6 Zn 2.95
Zn  0.6667  0.3333  0.5003  6 Au 2.80-2.81, 6 Zn 2.95
Au  0.0000  0.0000  0.5808  3 Zn 2.80, 3 Nb 2.92, 6 Au 2.95
Au  0.0000  0.0000  0.7528  3 Zn 2.81, 3 Nb 2.92, 6 Au 2.95
Au  0.3333  0.6667  0.2475  3 Zn 2.80, 3 Nb 2.92, 6 Au 2.95
Au  0.3333  0.6667  0.4195  3 Zn 2.81, 3 Nb 2.92, 6 Au 2.95
Au  0.6667  0.3333  0.0861  3 Zn 2.81, 3 Nb 2.92, 6 Au 2.95
Au  0.6667  0.3333  0.9142  3 Zn 2.80, 3 Nb 2.92, 6 Au 2.95

Properties
density: 13.24 Mg/m³
SG: R3m
total energy: -18.1 eV/f.u.
energy of formation: -59 meV per atom